Entry 1:
DFT (PBE-GGA) results for Ba2Al2Zn after structural relaxation.

As for the formation energy: -0.8 eV per formula unit.

It has space group C2/m (No. 12), with a = 11.420 Å, b = 5.199 Å, c = 11.585 Å, α = 90.00°, β = 115.67° and γ = 90.00°. Symmetry generates all atoms from Ba at (0.094, 0.000, 0.382), Ba at (0.184, 0.500, 0.170), Al at (0.092, 0.000, 0.954), Al at (0.098, 0.500, 0.612) and Zn at (0.138, 0.500, 0.859).

Entry 2:
DFT (PBE-GGA) results for Ba12AlZn6 after structural relaxation.

As for the formation energy: 0.1 eV per formula unit.

It has space group R-3 (No. 148, hexagonal axes), with a = 16.3966 Å, b = 16.3966 Å, c = 10.6441 Å, α = 90.00°, β = 90.00° and γ = 120.00°. Symmetry generates all atoms from Ba at (0.0418, 0.8524, 0.3363), Ba at (0.0628, 0.8204, 0.9380), Al at (0.0000, 0.0000, 0.0000) and Zn at (0.0389, 0.7718, 0.6292).

no.,E (eV/atom)
1,-2.67
2,-1.81